Entry 1:
# Ca2CuP2, optimized geometry, DFT PBE
# * total DFT energy (no corrections): -4.4596 eV per atom
# * ΔE_f: -0.6758 eV per atom
# * mass density: 3.50 g cm⁻³
# * ΔE to the lowest computed polymorph: 210.5 meV/atom
# * N(E_F): 3.87 states/eV per cell
data_Ca2CuP2
_chemical_formula_sum 'Ca4 Cu2 P4'
_symmetry_space_group_name_H-M 'P 4/m b m'
_symmetry_Int_Tables_number 127
_symmetry_space_group_name_Hall '-P 4 2ab'
_cell_length_a 6.7854
_cell_length_b 6.7854
_cell_length_c 4.2342
_cell_angle_alpha 90.00
_cell_angle_beta 90.00
_cell_angle_gamma 90.00
loop_
_atom_site_label
_atom_site_fract_x
_atom_site_fract_y
_atom_site_fract_z
_atom_site_occupancy
Ca1 0.1807 0.3193 0.0000 1
Cu1 0.0000 0.0000 0.5000 1
P1 0.1183 0.6183 0.5000 1

***

Entry 2:
# CaCuP, optimized geometry, DFT PBE
# * total DFT energy (no corrections): -4.1583 eV per atom
# * ΔE_f: -0.3224 eV per atom
# * mass density: 3.96 g cm⁻³
# * N(E_F): 0.03 states/eV per cell
data_CaCuP
_chemical_formula_sum 'Ca2 Cu2 P2'
_symmetry_space_group_name_H-M 'P 63/m m c'
_symmetry_Int_Tables_number 194
_symmetry_space_group_name_Hall '-P 6c 2c'
_cell_length_a 4.7920
_cell_length_b 4.7920
_cell_length_c 5.6815
_cell_angle_alpha 90.00
_cell_angle_beta 90.00
_cell_angle_gamma 120.00
loop_
_atom_site_label
_atom_site_fract_x
_atom_site_fract_y
_atom_site_fract_z
_atom_site_occupancy
Ca1 0.3333 0.6667 0.2500 1
Cu1 0.0000 0.0000 0.0000 1
P1 0.3333 0.6667 0.7500 1

***

Entry 3:
# CaCuP, optimized geometry, DFT PBE
# * total DFT energy (no corrections): -4.0630 eV per atom
# * ΔE_f: -0.2271 eV per atom
# * mass density: 3.64 g cm⁻³
# * N(E_F): 6.50 states/eV per cell
data_CaCuP
_chemical_formula_sum 'Ca4 Cu4 P4'
_symmetry_space_group_name_H-M 'F m m 2'
_symmetry_Int_Tables_number 42
_symmetry_space_group_name_Hall 'F 2 -2'
_cell_length_a 4.2838
_cell_length_b 5.8193
_cell_length_c 9.8547
_cell_angle_alpha 90.00
_cell_angle_beta 90.00
_cell_angle_gamma 90.00
loop_
_atom_site_label
_atom_site_fract_x
_atom_site_fract_y
_atom_site_fract_z
_atom_site_occupancy
Ca1 0.0000 0.0000 0.0000 1
Cu1 0.0000 0.0000 0.7159 1
P1 0.0000 0.0000 0.2999 1

***

Entry 4:
# CaCuP, optimized geometry, DFT PBE
# * total DFT energy (no corrections): -4.3888 eV per atom
# * ΔE_f: -0.5529 eV per atom
# * mass density: 3.16 g cm⁻³
# * N(E_F): 0.00 states/eV per cell
data_CaCuP
_chemical_formula_sum 'Ca2 Cu2 P2'
_symmetry_space_group_name_H-M 'P 4/n m m'
_symmetry_Int_Tables_number 129
_cell_length_a 5.7190
_cell_length_b 5.7190
_cell_length_c 4.3312
_cell_angle_alpha 90.00
_cell_angle_beta 90.00
_cell_angle_gamma 90.00
loop_
_symmetry_equiv_pos_as_xyz
'x,y,z'
'-x,-y,-z'
'-y+1/2,x,z'
'y+1/2,-x,-z'
'-x+1/2,-y+1/2,z'
'x+1/2,y+1/2,-z'
'y,-x+1/2,z'
'-y,x+1/2,-z'
'x+1/2,-y,-z'
'-x+1/2,y,z'
'-y,-x,-z'
'y,x,z'
'-x,y+1/2,-z'
'x,-y+1/2,z'
'y+1/2,x+1/2,-z'
'-y+1/2,-x+1/2,z'
loop_
_atom_site_label
_atom_site_fract_x
_atom_site_fract_y
_atom_site_fract_z
_atom_site_occupancy
Ca1 0.2500 0.7500 0.0000 1
Cu1 0.2500 0.2500 0.3738 1
P1 0.2500 0.2500 0.8692 1

***

Entry 5:
# Ca2CuP, optimized geometry, DFT PBE
# * total DFT energy (no corrections): -3.9158 eV per atom
# * ΔE_f: -0.5385 eV per atom
# * mass density: 3.34 g cm⁻³
# * N(E_F): 0.93 states/eV per cell
data_Ca2CuP
_chemical_formula_sum 'Ca2 Cu1 P1'
_symmetry_space_group_name_H-M 'P 4/m m m'
_symmetry_Int_Tables_number 123
_symmetry_space_group_name_Hall '-P 4 2'
_cell_length_a 4.8676
_cell_length_b 4.8676
_cell_length_c 3.6637
_cell_angle_alpha 90.00
_cell_angle_beta 90.00
_cell_angle_gamma 90.00
loop_
_atom_site_label
_atom_site_fract_x
_atom_site_fract_y
_atom_site_fract_z
_atom_site_occupancy
Ca1 0.0000 0.5000 0.0000 1
Cu1 0.0000 0.0000 0.5000 1
P1 0.5000 0.5000 0.5000 1

***

Entry 6:
# CaCuP, optimized geometry, DFT PBE
# * total DFT energy (no corrections): -4.4998 eV per atom
# * ΔE_f: -0.6639 eV per atom
# * mass density: 3.54 g cm⁻³
# * N(E_F): 1.32 states/eV per cell
data_CaCuP
_chemical_formula_sum 'Ca4 Cu4 P4'
_symmetry_space_group_name_H-M 'C 1 2/m 1'
_symmetry_Int_Tables_number 12
_cell_length_a 10.1176
_cell_length_b 4.0716
_cell_length_c 7.2918
_cell_angle_alpha 90.00
_cell_angle_beta 122.77
_cell_angle_gamma 90.00
loop_
_symmetry_equiv_pos_as_xyz
'x,y,z'
'-x,-y,-z'
'-x,y,-z'
'x,-y,z'
'x+1/2,y+1/2,z'
'-x+1/2,-y+1/2,-z'
'-x+1/2,y+1/2,-z'
'x+1/2,-y+1/2,z'
loop_
_atom_site_label
_atom_site_fract_x
_atom_site_fract_y
_atom_site_fract_z
_atom_site_occupancy
Ca1 0.0633 0.0000 0.3006 1
Cu1 0.2338 0.5000 0.8881 1
P1 0.2379 0.5000 0.2306 1

***

Entry 7:
# CaCuP, optimized geometry, DFT PBE
# * total DFT energy (no corrections): -4.0942 eV per atom
# * ΔE_f: -0.2583 eV per atom
# * mass density: 3.65 g cm⁻³
# * N(E_F): 0.74 states/eV per cell
data_CaCuP
_chemical_formula_sum 'Ca2 Cu2 P2'
_symmetry_space_group_name_H-M 'I 4 m m'
_symmetry_Int_Tables_number 107
_symmetry_space_group_name_Hall 'I 4 -2'
_cell_length_a 3.9593
_cell_length_b 3.9593
_cell_length_c 7.8025
_cell_angle_alpha 90.00
_cell_angle_beta 90.00
_cell_angle_gamma 90.00
loop_
_atom_site_label
_atom_site_fract_x
_atom_site_fract_y
_atom_site_fract_z
_atom_site_occupancy
Ca1 0.0000 0.0000 0.0000 1
Cu1 0.0000 0.0000 0.3554 1
P1 0.0000 0.0000 0.6435 1

***

Entry 8:
# CaCuP, optimized geometry, DFT PBE
# * total DFT energy (no corrections): -4.5954 eV per atom
# * ΔE_f: -0.7595 eV per atom
# * mass density: 4.11 g cm⁻³
# * N(E_F): 0.09 states/eV per cell
data_CaCuP
_chemical_formula_sum 'Ca2 Cu2 P2'
_symmetry_space_group_name_H-M 'P 4/n m m'
_symmetry_Int_Tables_number 129
_cell_length_a 4.0410
_cell_length_b 4.0410
_cell_length_c 6.6568
_cell_angle_alpha 90.00
_cell_angle_beta 90.00
_cell_angle_gamma 90.00
loop_
_symmetry_equiv_pos_as_xyz
'x,y,z'
'-x,-y,-z'
'-y+1/2,x,z'
'y+1/2,-x,-z'
'-x+1/2,-y+1/2,z'
'x+1/2,y+1/2,-z'
'y,-x+1/2,z'
'-y,x+1/2,-z'
'x+1/2,-y,-z'
'-x+1/2,y,z'
'-y,-x,-z'
'y,x,z'
'-x,y+1/2,-z'
'x,-y+1/2,z'
'y+1/2,x+1/2,-z'
'-y+1/2,-x+1/2,z'
loop_
_atom_site_label
_atom_site_fract_x
_atom_site_fract_y
_atom_site_fract_z
_atom_site_occupancy
Ca1 0.2500 0.2500 0.1751 1
Cu1 0.2500 0.7500 0.5000 1
P1 0.2500 0.2500 0.7189 1

***

Copy entry 3 word for word.
# CaCuP, optimized geometry, DFT PBE
# * total DFT energy (no corrections): -4.0630 eV per atom
# * ΔE_f: -0.2271 eV per atom
# * mass density: 3.64 g cm⁻³
# * N(E_F): 6.50 states/eV per cell
data_CaCuP
_chemical_formula_sum 'Ca4 Cu4 P4'
_symmetry_space_group_name_H-M 'F m m 2'
_symmetry_Int_Tables_number 42
_symmetry_space_group_name_Hall 'F 2 -2'
_cell_length_a 4.2838
_cell_length_b 5.8193
_cell_length_c 9.8547
_cell_angle_alpha 90.00
_cell_angle_beta 90.00
_cell_angle_gamma 90.00
loop_
_atom_site_label
_atom_site_fract_x
_atom_site_fract_y
_atom_site_fract_z
_atom_site_occupancy
Ca1 0.0000 0.0000 0.0000 1
Cu1 0.0000 0.0000 0.7159 1
P1 0.0000 0.0000 0.2999 1

***

Which of these has the lowest N(E_F)? number 4

***

Which value of total DFT energy (no corrections) does entry 4 give? -4.3888 eV per atom

***

Among the records above, which one has the lowest ΔE_f? number 8